CaCd2P: single point on PBEsol structure, meta-GGA SCAN.

Cell: 4.1691 4.1691 6.7892 Å, 107.50 107.50 59.63°
Positions (direct):
Ca 0.0000 0.0000 0.0000
Cd 0.2210 0.2210 0.6631
Cd 0.4670 0.4670 0.4047
P 0.7446 0.7446 0.2377

Results
For the total energy, the calculation gives -20.64 eV per atom. The calculation puts the total magnetization at 0.0000 μB/atom. The energy of formation is -1.68 eV/f.u. As for the density of states at the Fermi level: 0.94 states/eV/cell.